A relaxed structure of KScHg2, computed with PBE.

As for the formation energy: -0.094 eV/atom. Its electronic total energy is -2.102 eV/atom. The polymorph energy (0 for the lowest one) comes out at 131 meV per atom. Its space group is Amm2.

Cell: 5.221 6.493 6.493 Å, 30.28 90.00 90.00°
Atoms (fractional coordinates):
K  0.000  0.000  0.000
Sc  0.500  0.284  0.284
Hg  0.000  0.748  0.748
Hg  0.500  0.587  0.587